(1)
The following is a PBE calculation of a relaxed structure of Sr2P2Os, from Alexandria.

Computed properties:
Energy of formation from the pure elements (eV/atom): -0.483
Total moment (Bohr magnetons per cell): 0.0
DOS at the Fermi energy (states/eV/cell): 6.122

a b c (Å): 6.412 6.412 4.891
angles (deg): 90.00 90.00 90.00
Space group P4/mbm (No. 127)
Unique sites:
1 Sr 0.181 0.319 0.000 (multiplicity 4)
2 P 0.132 0.632 0.500 (multiplicity 4)
3 Os 0.000 0.000 0.500 (multiplicity 2)

***

(2)
The following is a PBE calculation of a relaxed structure of EuGdRuAu, from Alexandria.

Computed properties:
Energy of formation from the pure elements (eV/atom): -0.345
Total moment (Bohr magnetons per cell): 55.1
DOS at the Fermi energy (states/eV/cell): 42.621

a b c (Å): 7.130 7.130 7.130
angles (deg): 90.00 90.00 90.00
Space group F-43m (No. 216)
Unique sites:
1 Eu 0.000 0.000 0.000 (multiplicity 4)
2 Gd 0.000 0.000 0.500 (multiplicity 4)
3 Ru 0.250 0.250 0.250 (multiplicity 4)
4 Au 0.250 0.250 0.750 (multiplicity 4)

***

(3)
The following is a PBE calculation of a relaxed structure of CaMg6Hg6, from Alexandria.

Computed properties:
Energy of formation from the pure elements (eV/atom): -0.241
Total moment (Bohr magnetons per cell): 0.0
DOS at the Fermi energy (states/eV/cell): 10.018

a b c (Å): 6.101 9.426 10.552
angles (deg): 90.00 90.00 90.00
Space group Immm (No. 71)
Unique sites:
1 Ca 0.000 0.000 0.000 (multiplicity 2)
2 Mg 0.000 0.243 0.500 (multiplicity 4)
3 Mg 0.250 0.250 0.250 (multiplicity 8)
4 Hg 0.000 0.000 0.328 (multiplicity 4)
5 Hg 0.000 0.334 0.000 (multiplicity 4)
6 Hg 0.000 0.500 0.340 (multiplicity 4)

***

(4)
The following is a PBE calculation of a relaxed structure of Li2PmTcN4, from Alexandria.

Computed properties:
Total DFT energy (no corrections) (eV per cell): -114.7
Total moment (Bohr magnetons per cell): 0.0
DOS at the Fermi energy (states/eV/cell): 0.000

a b c (Å): 7.676 5.179 5.128
angles (deg): 90.00 90.00 90.00
Space group Pmn2_1 (No. 31)
Unique sites:
1 Li 0.248 0.213 0.000 (multiplicity 4)
2 Pm 0.000 0.226 0.495 (multiplicity 2)
3 Tc 0.000 0.693 0.015 (multiplicity 2)
4 N 0.000 0.346 0.953 (multiplicity 2)
5 N 0.000 0.722 0.371 (multiplicity 2)
6 N 0.198 0.837 0.885 (multiplicity 4)

***

(5)
The following is a PBE calculation of a relaxed structure of HfTcAs2, from Alexandria.

Computed properties:
Energy of formation from the pure elements (eV/atom): -0.324
Total moment (Bohr magnetons per cell): 3.7
DOS at the Fermi energy (states/eV/cell): 17.568

a b c (Å): 6.431 6.431 6.431
angles (deg): 90.00 90.00 90.00
Space group Fm-3m (No. 225)
Unique sites:
1 Hf 0.000 0.000 0.000 (multiplicity 4)
2 Tc 0.000 0.000 0.500 (multiplicity 4)
3 As 0.250 0.250 0.250 (multiplicity 8)

***

(6)
The following is a PBE calculation of a relaxed structure of Rb2Ba4Ag, from Alexandria.

Computed properties:
Energy of formation from the pure elements (eV/atom): 0.076
Total moment (Bohr magnetons per cell): 0.0
DOS at the Fermi energy (states/eV/cell): 15.719

a b c (Å): 6.613 6.613 22.999
angles (deg): 90.00 90.00 90.00
Space group I4/mmm (No. 139)
Unique sites:
1 Rb 0.000 0.000 0.155 (multiplicity 4)
2 Ba 0.000 0.000 0.356 (multiplicity 4)
3 Ba 0.000 0.500 0.000 (multiplicity 4)
4 Ag 0.000 0.000 0.500 (multiplicity 2)